Record 1
Computed, not measured: a geometry-optimized ErReAsO structure at the PBE level of DFT.

```
data_ErReAsO
_chemical_formula_sum 'Er2 Re2 As2 O2'
_cell_length_a 4.347
_cell_length_b 4.658
_cell_length_c 6.325
_cell_angle_alpha 90.00
_cell_angle_beta 90.00
_cell_angle_gamma 90.00
_symmetry_space_group_name_H-M 'P m c 21'
_symmetry_Int_Tables_number 26
loop_
_symmetry_equiv_pos_as_xyz
'x,y,z'
'-x,-y,z+1/2'
'-x,y,z'
'x,-y,z+1/2'
loop_
_atom_site_label
_atom_site_type_symbol
_atom_site_fract_x
_atom_site_fract_y
_atom_site_fract_z
Er1 Er 0.000 0.216 0.000
Re1 Re 0.500 0.365 0.337
As1 As 0.500 0.139 0.691
O1 O 0.000 0.365 0.333
```

## Properties
magnetization: 0.0 μB per cell
mass density: 11.5 g/cm3
energy: -7.775 eV/atom

Record 2
Computed, not measured: a geometry-optimized ErReAsO structure at the PBE level of DFT.

```
data_ErReAsO
_chemical_formula_sum 'Er2 Re2 As2 O2'
_cell_length_a 4.336
_cell_length_b 4.336
_cell_length_c 6.653
_cell_angle_alpha 90.00
_cell_angle_beta 90.00
_cell_angle_gamma 90.00
_symmetry_space_group_name_H-M 'P 4/n m m'
_symmetry_Int_Tables_number 129
loop_
_symmetry_equiv_pos_as_xyz
'x,y,z'
'-x,-y,-z'
'-y+1/2,x,z'
'y+1/2,-x,-z'
'-x+1/2,-y+1/2,z'
'x+1/2,y+1/2,-z'
'y,-x+1/2,z'
'-y,x+1/2,-z'
'x+1/2,-y,-z'
'-x+1/2,y,z'
'-y,-x,-z'
'y,x,z'
'-x,y+1/2,-z'
'x,-y+1/2,z'
'y+1/2,x+1/2,-z'
'-y+1/2,-x+1/2,z'
loop_
_atom_site_label
_atom_site_type_symbol
_atom_site_fract_x
_atom_site_fract_y
_atom_site_fract_z
Er1 Er 0.250 0.750 0.000
Re1 Re 0.250 0.250 0.355
As1 As 0.250 0.250 0.723
O1 O 0.250 0.750 0.500
```

## Properties
magnetization: 0.0 μB per cell
mass density: 11.8 g/cm3
energy: -6.613 eV/atom

Record 3
Computed, not measured: a geometry-optimized ErReAsO structure at the PBE level of DFT.

```
data_ErReAsO
_chemical_formula_sum 'Er2 Re2 As2 O2'
_cell_length_a 4.297
_cell_length_b 4.297
_cell_length_c 6.729
_cell_angle_alpha 90.00
_cell_angle_beta 90.00
_cell_angle_gamma 90.00
_symmetry_space_group_name_H-M 'P 4/n m m'
_symmetry_Int_Tables_number 129
loop_
_symmetry_equiv_pos_as_xyz
'x,y,z'
'-x,-y,-z'
'-y+1/2,x,z'
'y+1/2,-x,-z'
'-x+1/2,-y+1/2,z'
'x+1/2,y+1/2,-z'
'y,-x+1/2,z'
'-y,x+1/2,-z'
'x+1/2,-y,-z'
'-x+1/2,y,z'
'-y,-x,-z'
'y,x,z'
'-x,y+1/2,-z'
'x,-y+1/2,z'
'y+1/2,x+1/2,-z'
'-y+1/2,-x+1/2,z'
loop_
_atom_site_label
_atom_site_type_symbol
_atom_site_fract_x
_atom_site_fract_y
_atom_site_fract_z
Er1 Er 0.250 0.750 0.000
Re1 Re 0.250 0.250 0.355
As1 As 0.250 0.250 0.722
O1 O 0.250 0.750 0.500
```

## Properties
magnetization: 0.0 μB per cell
mass density: 11.9 g/cm3
energy: -6.611 eV/atom

Record 4
Computed, not measured: a geometry-optimized ErSbAsO structure at the PBE level of DFT.

```
data_ErSbAsO
_chemical_formula_sum 'Er2 Sb2 As2 O2'
_cell_length_a 4.018
_cell_length_b 4.018
_cell_length_c 10.444
_cell_angle_alpha 90.00
_cell_angle_beta 90.00
_cell_angle_gamma 90.00
_symmetry_space_group_name_H-M 'P 4/n m m'
_symmetry_Int_Tables_number 129
loop_
_symmetry_equiv_pos_as_xyz
'x,y,z'
'-x,-y,-z'
'-y+1/2,x,z'
'y+1/2,-x,-z'
'-x+1/2,-y+1/2,z'
'x+1/2,y+1/2,-z'
'y,-x+1/2,z'
'-y,x+1/2,-z'
'x+1/2,-y,-z'
'-x+1/2,y,z'
'-y,-x,-z'
'y,x,z'
'-x,y+1/2,-z'
'x,-y+1/2,z'
'y+1/2,x+1/2,-z'
'-y+1/2,-x+1/2,z'
loop_
_atom_site_label
_atom_site_type_symbol
_atom_site_fract_x
_atom_site_fract_y
_atom_site_fract_z
Er1 Er 0.250 0.250 0.097
Sb1 Sb 0.250 0.750 0.500
As1 As 0.250 0.250 0.733
O1 O 0.250 0.750 0.000
```

## Properties
magnetization: 0.1 μB per cell
mass density: 7.5 g/cm3
energy: -5.966 eV/atom

Record 5
Computed, not measured: a geometry-optimized ErSbAsO structure at the PBE level of DFT.

```
data_ErSbAsO
_chemical_formula_sum 'Er2 Sb2 As2 O2'
_cell_length_a 3.947
_cell_length_b 8.189
_cell_length_c 5.878
_cell_angle_alpha 90.00
_cell_angle_beta 90.00
_cell_angle_gamma 90.00
_symmetry_space_group_name_H-M 'P m c 21'
_symmetry_Int_Tables_number 26
loop_
_symmetry_equiv_pos_as_xyz
'x,y,z'
'-x,-y,z+1/2'
'-x,y,z'
'x,-y,z+1/2'
loop_
_atom_site_label
_atom_site_type_symbol
_atom_site_fract_x
_atom_site_fract_y
_atom_site_fract_z
Er1 Er 0.000 0.169 0.000
Sb1 Sb 0.500 0.399 0.609
As1 As 0.000 0.181 0.491
O1 O 0.500 0.247 0.930
```

## Properties
magnetization: 0.0 μB per cell
mass density: 6.6 g/cm3
energy: -5.823 eV/atom

Record 6
Computed, not measured: a geometry-optimized ErSbAsO structure at the PBE level of DFT.

```
data_ErSbAsO
_chemical_formula_sum 'Er2 Sb2 As2 O2'
_cell_length_a 4.786
_cell_length_b 4.786
_cell_length_c 7.266
_cell_angle_alpha 90.00
_cell_angle_beta 90.00
_cell_angle_gamma 90.00
_symmetry_space_group_name_H-M 'P 4/n m m'
_symmetry_Int_Tables_number 129
loop_
_symmetry_equiv_pos_as_xyz
'x,y,z'
'-x,-y,-z'
'-y+1/2,x,z'
'y+1/2,-x,-z'
'-x+1/2,-y+1/2,z'
'x+1/2,y+1/2,-z'
'y,-x+1/2,z'
'-y,x+1/2,-z'
'x+1/2,-y,-z'
'-x+1/2,y,z'
'-y,-x,-z'
'y,x,z'
'-x,y+1/2,-z'
'x,-y+1/2,z'
'y+1/2,x+1/2,-z'
'-y+1/2,-x+1/2,z'
loop_
_atom_site_label
_atom_site_type_symbol
_atom_site_fract_x
_atom_site_fract_y
_atom_site_fract_z
Er1 Er 0.250 0.750 0.000
Sb1 Sb 0.250 0.250 0.433
As1 As 0.250 0.250 0.810
O1 O 0.250 0.750 0.500
```

## Properties
magnetization: 0.0 μB per cell
mass density: 7.6 g/cm3
energy: -5.263 eV/atom

What is the magnetization in the third record? 0.0 μB per cell